# PmPr2P3 | OQMD via LeMat-Bulk | PBE-GGA | relaxed
data_PmPr2P3
_chemical_formula_sum 'Pm1 Pr2 P3'
_symmetry_space_group_name_H-M 'P -3 m 1'
_symmetry_Int_Tables_number 164
_symmetry_space_group_name_Hall '-P 3 2"'
_cell_length_a 4.1781
_cell_length_b 4.1781
_cell_length_c 10.2337
_cell_angle_alpha 90.00
_cell_angle_beta 90.00
_cell_angle_gamma 120.00
loop_
_atom_site_label
_atom_site_fract_x
_atom_site_fract_y
_atom_site_fract_z
Pm1 0.0000 0.0000 0.0000
Pr1 0.3333 0.6667 0.3313
P1 0.0000 0.0000 0.5000
P2 0.3333 0.6667 0.8376
# Total DFT energy (no corrections): -6.621 eV/atom